<i>
DFT (PBE) results for an optimized crystal structure of Pu2Ni3Ge5.

Values from the calculation:
ρ = 10.17 Mg/m³
Space-group type = Cmc2_1
Magnetization = 21.1 μB/cell

Lattice parameters (Å, degrees): 4.1856 6.5869 12.3517 90.00 99.75 90.00
Closest atoms and distances in Å follow each position.
Sites, in units of the cell vectors:
Pu (0.4787, 0.7408, 0.9573)  3 Ni 2.72-2.93, 4 Ge 2.95-3.03
Pu (0.1743, 0.7492, 0.3485)  9 Ge 2.93-3.23, 3 Ni 3.10-3.20
Pu (0.8257, 0.2492, 0.6515)  9 Ge 2.93-3.23, 3 Ni 3.10-3.20
Pu (0.5213, 0.2408, 0.0427)  3 Ni 2.72-2.93, 4 Ge 2.95-3.03
Ni (0.7805, 0.7349, 0.5610)  7 Ge 2.42-2.61
Ni (0.6076, 0.5039, 0.2152)  6 Ge 2.43-2.68
Ni (0.0554, 0.9570, 0.1109)  4 Ge 2.39-2.55
Ni (0.2195, 0.2349, 0.4390)  7 Ge 2.42-2.61
Ni (0.9446, 0.4570, 0.8891)  4 Ge 2.39-2.55
Ni (0.3924, 0.0039, 0.7848)  6 Ge 2.43-2.68
Ge (0.4028, 0.3770, 0.8056)  3 Ni 2.39-2.47
Ge (0.2871, 0.5301, 0.5742)  3 Ni 2.49-2.55, 1 Ge 2.76
Ge (0.7129, 0.0301, 0.4258)  3 Ni 2.49-2.55, 1 Ge 2.76
Ge (0.1203, 0.2532, 0.2406)  4 Ni 2.42-2.68, 1 Ge 2.69
Ge (0.2937, 0.9481, 0.5874)  4 Ni 2.43-2.61
Ge (0.9495, 0.0706, 0.8990)  4 Ni 2.55-2.69, 1 Ge 2.69
Ge (0.7063, 0.4481, 0.4126)  4 Ni 2.43-2.61
Ge (0.8797, 0.7532, 0.7594)  4 Ni 2.42-2.68, 1 Ge 2.69
Ge (0.0505, 0.5706, 0.1010)  4 Ni 2.55-2.69, 1 Ge 2.69
Ge (0.5972, 0.8770, 0.1944)  3 Ni 2.39-2.47

<ii>
DFT (PBE) results for an optimized crystal structure of Pu2Ni3Ge5.

Values from the calculation:
ρ = 10.12 Mg/m³
Space-group type = Ibam
Magnetization = 21.5 μB/cell

Lattice parameters (Å, degrees): 5.8778 8.1770 8.1770 73.81 68.94 68.94
Closest atoms and distances in Å follow each position.
Sites, in units of the cell vectors:
Pu (0.1366, 0.5969, 0.1299)  10 Ge 2.91-3.20, 3 Ni 3.07-3.19
Pu (0.6366, 0.1299, 0.5969)  10 Ge 2.91-3.20, 3 Ni 3.07-3.19
Pu (0.8634, 0.4031, 0.8701)  10 Ge 2.91-3.20, 3 Ni 3.07-3.19
Pu (0.3634, 0.8701, 0.4031)  10 Ge 2.91-3.20, 3 Ni 3.07-3.19
Ni (0.3627, 0.5307, 0.7439)  5 Ge 2.33-2.41
Ni (0.8627, 0.7439, 0.5307)  5 Ge 2.33-2.41
Ni (0.6373, 0.4693, 0.2561)  5 Ge 2.33-2.41
Ni (0.1373, 0.2561, 0.4693)  5 Ge 2.33-2.41
Ni (0.2500, 0.0000, 0.0000)  6 Ge 2.44-2.67
Ni (0.7500, 0.0000, 0.0000)  6 Ge 2.44-2.67
Ge (0.4034, 0.2580, 0.9352)  3 Ni 2.33-2.44
Ge (0.9034, 0.9352, 0.2580)  3 Ni 2.33-2.44
Ge (0.5966, 0.7420, 0.0648)  3 Ni 2.33-2.44
Ge (0.0966, 0.0648, 0.7420)  3 Ni 2.33-2.44
Ge (0.4784, 0.7716, 0.7716)  3 Ni 2.39-2.67, 2 Ge 2.65
Ge (0.5216, 0.2284, 0.2284)  3 Ni 2.39-2.67, 2 Ge 2.65
Ge (0.7500, 0.5000, 0.5000)  4 Ni 2.41
Ge (0.2500, 0.5000, 0.5000)  4 Ni 2.41
Ge (0.0216, 0.2284, 0.2284)  3 Ni 2.39-2.67, 2 Ge 2.65
Ge (0.9784, 0.7716, 0.7716)  3 Ni 2.39-2.67, 2 Ge 2.65

In terms of stability, <ii> leads; the second structure lies 0.070 eV/atom higher.